[1]
Sr2BeGe4Pt3 after structural relaxation, computed with PBE-GGA. Values from VASP.

```
&SYSTEM
  ibrav = 0, nat = 10, ntyp = 4
/
ATOMIC_SPECIES
Ge 72.64 Ge.upf
Be 9.01 Be.upf
Pt 195.08 Pt.upf
Sr 87.62 Sr.upf
CELL_PARAMETERS angstrom
-2.904 -0.521 -3.215
1.037 -4.231 -0.252
-7.315 -2.208 6.965
ATOMIC_POSITIONS angstrom
Ge -6.032 -1.643 2.754
Ge -2.216 -2.941 2.478
Ge -0.933 -2.376 -1.734
Ge 0.000 0.000 0.000
Be -4.591 -3.480 1.749
Pt -0.406 -2.395 0.754
Pt -7.842 -2.189 4.477
Pt -3.657 -1.104 3.483
Sr -3.309 -0.821 0.160
Sr -4.939 -3.763 5.071
```

Values from the calculation:
**Energy**: -50.23 eV/f.u.
**DFT formation energy**: -0.655 eV per atom
**V**: 19.7 A^3/atom
**DOS(E_F)**: 3.63 states/eV/f.u.

[2]
TbBeGePt3 after structural relaxation, computed with PBE-GGA. Values from VASP.

```
&SYSTEM
  ibrav = 0, nat = 12, ntyp = 4
/
ATOMIC_SPECIES
Pt 195.08 Pt.upf
Ge 72.64 Ge.upf
Tb 158.93 Tb.upf
Be 9.01 Be.upf
CELL_PARAMETERS angstrom
-3.780 0.873 -3.970
-4.644 -1.790 4.028
1.723 6.514 -0.208
ATOMIC_POSITIONS angstrom
Pt -1.276 -0.492 1.106
Pt -1.147 2.113 -0.384
Pt -3.166 -0.055 -0.879
Pt -5.554 3.484 0.234
Pt -3.369 -1.299 2.922
Pt -5.259 -0.862 0.937
Ge -5.314 1.225 -0.493
Ge -1.388 4.372 0.343
Tb -3.170 3.791 -1.969
Tb -3.532 1.806 1.820
Be -2.866 0.946 -2.884
Be -3.835 4.651 2.734
```

Values from the calculation:
**Energy**: -35.62 eV/f.u.
**DFT formation energy**: -0.753 eV per atom
**V**: 17.6 A^3/atom
**DOS(E_F)**: 1.77 states/eV/f.u.

Repeat the second record exactly.
TbBeGePt3 after structural relaxation, computed with PBE-GGA. Values from VASP.

```
&SYSTEM
  ibrav = 0, nat = 12, ntyp = 4
/
ATOMIC_SPECIES
Pt 195.08 Pt.upf
Ge 72.64 Ge.upf
Tb 158.93 Tb.upf
Be 9.01 Be.upf
CELL_PARAMETERS angstrom
-3.780 0.873 -3.970
-4.644 -1.790 4.028
1.723 6.514 -0.208
ATOMIC_POSITIONS angstrom
Pt -1.276 -0.492 1.106
Pt -1.147 2.113 -0.384
Pt -3.166 -0.055 -0.879
Pt -5.554 3.484 0.234
Pt -3.369 -1.299 2.922
Pt -5.259 -0.862 0.937
Ge -5.314 1.225 -0.493
Ge -1.388 4.372 0.343
Tb -3.170 3.791 -1.969
Tb -3.532 1.806 1.820
Be -2.866 0.946 -2.884
Be -3.835 4.651 2.734
```

Values from the calculation:
**Energy**: -35.62 eV/f.u.
**DFT formation energy**: -0.753 eV per atom
**V**: 17.6 A^3/atom
**DOS(E_F)**: 1.77 states/eV/f.u.